Entry 1:
First-principles (GGA-PBE) data for an optimized crystal structure of Nd4TmTh2, as listed in Alexandria via LeMat-Bulk.

## Properties
The formation energy is 0.04 eV/atom.

a = 3.6225 Å, b = 3.6225 Å, c = 62.1454 Å
α = 90.00°, β = 90.00°, γ = 120.00°
Space group R-3m (No. 166, hexagonal axes)
Unique sites:
Nd1 0.0000 0.0000 0.0957 x6
Nd2 0.0000 0.0000 0.3797 x6
Tm1 0.0000 0.0000 0.0000 x3
Th1 0.0000 0.0000 0.1897 x6

=====

Entry 2:
First-principles (GGA-PBE) data for an optimized crystal structure of Sr3Ac3Hg4, as listed in Alexandria via LeMat-Bulk.

## Properties
The formation energy is -0.40 eV/atom.

a = 4.190 Å, b = 13.218 Å, c = 13.160 Å
α = 90.00°, β = 90.00°, γ = 90.00°
Space group Amm2 (No. 38)
Unique sites:
Sr1 0.000 0.000 0.000 x2
Sr2 0.500 0.249 0.409 x4
Ac1 0.000 0.000 0.312 x2
Ac2 0.000 0.157 0.659 x4
Hg1 0.500 0.000 0.519 x2
Hg2 0.500 0.000 0.794 x2
Hg3 0.500 0.139 0.158 x4

=====

Entry 3:
First-principles (GGA-PBE) data for an optimized crystal structure of Mn2HgW, as listed in Alexandria via LeMat-Bulk.

## Properties
The formation energy is 0.37 eV/atom.

a = 3.428 Å, b = 4.422 Å, c = 8.414 Å
α = 90.00°, β = 90.00°, γ = 90.00°
Space group Cmmm (No. 65)
Unique sites:
Mn1 0.000 0.000 0.230 x4
Hg1 0.000 0.500 0.500 x2
W1 0.000 0.500 0.000 x2

=====

Entry 4:
First-principles (GGA-PBE) data for an optimized crystal structure of Tl4Te5, as listed in Alexandria via LeMat-Bulk.

## Properties
The calculation puts the energy relative to the elements, uncorrected at -0.061 eV/atom. The energy relative to the lowest polymorph listed for this composition is 0.0000 eV per atom.

a = 11.751 Å, b = 11.751 Å, c = 4.271 Å
α = 90.00°, β = 90.00°, γ = 90.00°
Space group I4/mmm (No. 139)
Unique sites:
Tl1 0.000 0.308 0.000 x8
Te1 0.000 0.000 0.000 x2
Te2 0.176 0.176 0.500 x8

=====

Entry 5:
First-principles (GGA-PBE) data for an optimized crystal structure of PmGa4Au, as listed in Alexandria via LeMat-Bulk.

## Properties
The formation energy is -0.26 eV/atom.

a = 7.830 Å, b = 7.830 Å, c = 7.830 Å
α = 90.00°, β = 90.00°, γ = 90.00°
Space group F-43m (No. 216)
Unique sites:
Pm1 0.000 0.000 0.000 x4
Ga1 0.125 0.125 0.625 x16
Au1 0.250 0.250 0.250 x4

=====

Entry 6:
First-principles (GGA-PBE) data for an optimized crystal structure of NiB2Mo2, as listed in Alexandria via LeMat-Bulk.

## Properties
The formation energy is -0.49 eV/atom. The energy relative to the lowest polymorph listed for this composition is 0.0000 eV per atom.

a = 3.192 Å, b = 4.577 Å, c = 7.132 Å
α = 90.00°, β = 90.00°, γ = 90.00°
Space group Immm (No. 71)
Unique sites:
Ni1 0.000 0.000 0.000 x2
B1 0.000 0.201 0.500 x4
Mo1 0.000 0.500 0.199 x4

=====

Entry 7:
First-principles (GGA-PBE) data for an optimized crystal structure of Lu2PaSn, as listed in Alexandria via LeMat-Bulk.

## Properties
The formation energy is -0.19 eV/atom. The energy relative to the lowest polymorph listed for this composition is 0.0000 eV per atom.

a = 4.762 Å, b = 4.762 Å, c = 4.540 Å
α = 90.00°, β = 90.00°, γ = 90.00°
Space group P4/mmm (No. 123)
Unique sites:
Lu1 0.000 0.500 0.000 x2
Pa1 0.000 0.000 0.500 x1
Sn1 0.500 0.500 0.500 x1

=====

Entry 8:
First-principles (GGA-PBE) data for an optimized crystal structure of Rb2Sc2Sb2Se, as listed in Alexandria via LeMat-Bulk.

## Properties
The calculation puts the energy relative to the elements, uncorrected at -0.921 eV/atom.

a = 5.097 Å, b = 5.097 Å, c = 18.493 Å
α = 90.00°, β = 90.00°, γ = 90.00°
Space group I4/mmm (No. 139)
Unique sites:
Rb1 0.000 0.000 0.183 x4
Sc1 0.000 0.500 0.000 x4
Sb1 0.000 0.000 0.398 x4
Se1 0.000 0.000 0.000 x2

=====

Entry 9:
First-principles (GGA-PBE) data for an optimized crystal structure of Pm3Sn2Au, as listed in Alexandria via LeMat-Bulk.

## Properties
The formation energy is -0.71 eV/atom. The energy relative to the lowest polymorph listed for this composition is 0.0385 eV per atom.

a = 3.568 Å, b = 3.568 Å, c = 12.746 Å
α = 90.00°, β = 90.00°, γ = 90.00°
Space group P4/mmm (No. 123)
Unique sites:
Pm1 0.000 0.000 0.000 x1
Pm2 0.000 0.000 0.346 x2
Sn1 0.500 0.500 0.175 x2
Au1 0.500 0.500 0.500 x1

=====

Entry 10:
First-principles (GGA-PBE) data for an optimized crystal structure of KSc3Tc, as listed in Alexandria via LeMat-Bulk.

## Properties
The formation energy is 1.73 eV/atom. The energy relative to the lowest polymorph listed for this composition is 1.4789 eV per atom.

a = 4.743 Å, b = 4.743 Å, c = 4.743 Å
α = 90.00°, β = 90.00°, γ = 90.00°
Space group Pm-3m (No. 221)
Unique sites:
K1 0.000 0.000 0.000 x1
Sc1 0.000 0.000 0.500 x3
Tc1 0.500 0.500 0.500 x1

=====

Entry 11:
First-principles (GGA-PBE) data for an optimized crystal structure of RbTaAlHg2, as listed in Alexandria via LeMat-Bulk.

## Properties
The formation energy is 1.96 eV/atom.

a = 5.965 Å, b = 5.965 Å, c = 6.159 Å
α = 90.00°, β = 90.00°, γ = 90.00°
Space group P4/mmm (No. 123)
Unique sites:
Rb1 0.000 0.000 0.000 x1
Ta1 0.500 0.500 0.500 x1
Al1 0.000 0.000 0.500 x1
Hg1 0.000 0.500 0.000 x2

=====

Entry 12:
First-principles (GGA-PBE) data for an optimized crystal structure of Ag2SnPbI6, as listed in Alexandria via LeMat-Bulk.

## Properties
The calculation puts the energy relative to the elements, uncorrected at -0.402 eV/atom.

a = 8.031 Å, b = 8.031 Å, c = 8.793 Å
α = 117.17°, β = 90.00°, γ = 119.99°
Space group P1 (No. 1)
Unique sites:
Ag1 0.000 0.000 0.000 x1
Ag2 0.498 0.996 0.494 x1
Sn1 0.750 0.499 0.249 x1
Pb1 0.250 0.499 0.749 x1
I1 0.151 0.654 0.497 x1
I2 0.348 0.345 0.001 x1
I3 0.502 0.344 0.496 x1
I4 0.656 0.004 0.001 x1
I5 0.843 0.994 0.497 x1
I6 0.996 0.652 0.000 x1

=====

Number 1: V 33.63 Å³/atom. Number 2: V 36.44 Å³/atom. Number 3: V 15.94 Å³/atom. Number 4: V 32.76 Å³/atom. Number 5: V 20.00 Å³/atom. Number 6: V 10.42 Å³/atom. Number 7: V 25.74 Å³/atom. Number 8: V 34.32 Å³/atom. Number 9: V 27.04 Å³/atom. Number 10: V 21.34 Å³/atom. Number 11: V 43.83 Å³/atom. Number 12: V 41.74 Å³/atom.